1.
Computed, not measured: a relaxed PmMgIn2Au4 crystal at the PBE level of DFT.

Cell lengths 4.7436, 4.7436, 26.1019 Å; angles 90.00, 90.00, 120.00 degrees
Last column: nearest neighbours and their distance in Å.
Space group R-3m (No. 166, hexagonal axes)
Asymmetric unit:
Pm: 0.0000 0.0000 0.0000 [3 per cell]  8 Au 3.12-3.49
Mg: 0.0000 0.0000 0.5000 [3 per cell]  8 Au 2.86-2.87
In: 0.0000 0.0000 0.2462 [6 per cell]  7 Au 2.85-3.00
Au: 0.0000 0.0000 0.1337 [6 per cell]  3 Mg 2.87, 4 In 2.94-3.00
Au: 0.0000 0.0000 0.3903 [6 per cell]  3 In 2.85, 1 Mg 2.86, 3 Pm 3.12

2.
Computed, not measured: a relaxed PrMg2InAu4 crystal at the PBE level of DFT.

Cell lengths 4.6715, 4.6715, 27.3078 Å; angles 90.00, 90.00, 120.00 degrees
Last column: nearest neighbours and their distance in Å.
Space group R-3m (No. 166, hexagonal axes)
Asymmetric unit:
Pr: 0.0000 0.0000 0.0000 [3 per cell]  8 Au 3.14-3.31
Mg: 0.0000 0.0000 0.2410 [6 per cell]  6 Au 2.81-2.85
In: 0.0000 0.0000 0.5000 [3 per cell]  8 Au 2.94-2.97
Au: 0.0000 0.0000 0.1212 [6 per cell]  3 Mg 2.81, 3 In 2.97
Au: 0.0000 0.0000 0.3923 [6 per cell]  3 Mg 2.85, 1 In 2.94, 3 Pr 3.14, 3 Au 3.19

3.
Computed, not measured: a relaxed PrMgInAu crystal at the PBE level of DFT.

Cell lengths 7.2787, 7.2787, 7.2787 Å; angles 90.00, 90.00, 90.00 degrees
Last column: nearest neighbours and their distance in Å.
Space group F-43m (No. 216)
Asymmetric unit:
Pr: 0.0000 0.0000 0.0000 [4 per cell]  4 In 3.15, 4 Au 3.15
Mg: 0.0000 0.0000 0.5000 [4 per cell]  4 In 3.15, 4 Au 3.15
In: 0.2500 0.2500 0.7500 [4 per cell]  4 Pr 3.15, 4 Mg 3.15
Au: 0.2500 0.2500 0.2500 [4 per cell]  4 Pr 3.15, 4 Mg 3.15

4.
Computed, not measured: a relaxed PrMg2In2Au2 crystal at the PBE level of DFT.

Cell lengths 4.6585, 4.6585, 25.7008 Å; angles 90.00, 90.00, 120.00 degrees
Last column: nearest neighbours and their distance in Å.
Space group R-3m (No. 166, hexagonal axes)
Asymmetric unit:
Pr: 0.0000 0.0000 0.0000 [3 per cell]  6 In 3.26, 2 Mg 3.55
Mg: 0.0000 0.0000 0.1381 [6 per cell]  3 Au 2.81, 3 Mg 3.07
In: 0.0000 0.0000 0.2613 [6 per cell]  3 Au 2.83, 1 Mg 3.17
Au: 0.0000 0.0000 0.4402 [6 per cell]  3 Mg 2.81, 3 In 2.83, 1 Au 3.08

5.
Computed, not measured: a relaxed Pr2MgInAu6 crystal at the PBE level of DFT.

Cell lengths 5.5835, 6.8006, 7.0088 Å; angles 78.87, 68.52, 70.63 degrees
Last column: nearest neighbours and their distance in Å.
Space group P-1 (No. 2)
Asymmetric unit:
Pr: 0.0016 0.2577 0.2520 [2 per cell]  8 Au 3.15-3.45, 1 In 3.45
Mg: 0.5000 0.0000 0.5000 [1 per cell]  6 Au 2.65-2.77
In: 0.5000 0.5000 0.0000 [1 per cell]  6 Au 2.79-2.98
Au: 0.0042 0.7550 0.2922 [2 per cell]  1 Mg 2.77, 4 Au 2.84-2.99, 1 In 2.98
Au: 0.3512 0.9310 0.9059 [2 per cell]  1 Mg 2.65, 1 In 2.79, 2 Au 2.91-2.92
Au: 0.4831 0.3328 0.6665 [2 per cell]  1 Mg 2.70, 1 In 2.83, 3 Au 2.84-2.93

6.
Computed, not measured: a relaxed Mg2InPt5Au crystal at the PBE level of DFT.

Cell lengths 7.5659, 7.5659, 11.1973 Å; angles 90.00, 90.00, 90.00 degrees
Last column: nearest neighbours and their distance in Å.
Space group I4/mcm (No. 140)
Asymmetric unit:
Mg: 0.1122 0.3878 0.0000 [8 per cell]  1 Mg 2.40, 2 Pt 2.43
In: 0.0000 0.0000 0.2500 [4 per cell]  10 Pt 2.80-3.05
Pt: 0.0000 0.0000 0.0000 [4 per cell]  2 In 2.80, 4 Mg 3.05, 8 Pt 3.07
Pt: 0.2042 0.2958 0.3729 [16 per cell]  1 Mg 2.43, 1 Au 2.58
Au: 0.0000 0.5000 0.2500 [4 per cell]  4 Pt 2.58

7.
Computed, not measured: a relaxed Mg2InPtAu crystal at the PBE level of DFT.

Cell lengths 4.9587, 4.9587, 5.1442 Å; angles 90.00, 90.00, 90.00 degrees
Last column: nearest neighbours and their distance in Å.
Space group P4/mmm (No. 123)
Asymmetric unit:
Mg: 0.0000 0.5000 0.0000 [2 per cell]  2 Au 2.48
In: 0.0000 0.0000 0.5000 [1 per cell]  4 Pt 3.51, 8 Mg 3.57
Pt: 0.5000 0.5000 0.5000 [1 per cell]  2 Au 2.57
Au: 0.5000 0.5000 0.0000 [1 per cell]  4 Mg 2.48, 2 Pt 2.57

8.
Computed, not measured: a relaxed Mg5In2Pt2Au crystal at the PBE level of DFT.

Cell lengths 10.6094, 10.6094, 3.5779 Å; angles 90.00, 90.00, 90.00 degrees
Last column: nearest neighbours and their distance in Å.
Space group P4/mbm (No. 127)
Asymmetric unit:
Mg: 0.0000 0.5000 0.0000 [2 per cell]  4 Pt 2.68
Mg: 0.0657 0.1968 0.0000 [8 per cell]  2 Pt 2.64, 2 Au 2.84
In: 0.1706 0.6706 0.5000 [4 per cell]  3 Pt 2.95-3.24, 2 Mg 3.12
Pt: 0.1326 0.3674 0.5000 [4 per cell]  6 Mg 2.64-2.68, 1 In 2.95
Au: 0.0000 0.0000 0.5000 [2 per cell]  8 Mg 2.84

no.,total DFT energy (no corrections) (eV/f.u.),density (g/cm³)
1,-29.2,11.6
2,-28.3,10.5
3,-14.5,8.2
4,-23.1,8.4
5,-38.4,11.4
6,-40.6,13.8
7,-14.6,7.3
8,-33.7,7.7